An optimized crystal structure of Ce6Ge3O. Source: Alexandria via LeMat-Bulk, functional PBE.

a b c (Å): 6.096 7.827 11.794
angles (deg): 90.00 120.07 90.00
Fractional positions:
Ce 0.083 0.144 0.448
Ce 0.083 0.356 0.948
Ce 0.336 0.705 0.444
Ce 0.336 0.795 0.944
Ce 0.398 0.031 0.270
Ce 0.398 0.469 0.770
Ce 0.602 0.531 0.230
Ce 0.602 0.969 0.730
Ce 0.664 0.205 0.056
Ce 0.664 0.295 0.556
Ce 0.917 0.644 0.052
Ce 0.917 0.856 0.552
Ge 0.000 0.000 0.000
Ge 0.000 0.500 0.500
Ge 0.165 0.120 0.762
Ge 0.165 0.380 0.262
Ge 0.835 0.620 0.738
Ge 0.835 0.880 0.238
O 0.500 0.000 0.500
O 0.500 0.500 0.000

Summary:
The energy comes out at -6.379 eV/atom.

=====

An optimized crystal structure of K2CaHfSe4. Source: Alexandria via LeMat-Bulk, functional PBE.

a b c (Å): 7.249 4.099 7.967
angles (deg): 90.00 106.84 90.00
Fractional positions:
K 0.000 0.000 0.000
K 0.500 0.500 0.000
Ca 0.000 0.500 0.500
Hf 0.500 0.000 0.500
Se 0.261 0.000 0.701
Se 0.288 0.500 0.303
Se 0.712 0.500 0.697
Se 0.739 0.000 0.299

Summary:
The energy comes out at -5.021 eV/atom.

=====

An optimized crystal structure of Zr2NiIr. Source: Alexandria via LeMat-Bulk, functional PBE.

a b c (Å): 5.316 4.226 6.683
angles (deg): 90.00 107.60 90.00
Fractional positions:
Zr 0.212 0.250 0.431
Zr 0.221 0.250 0.933
Zr 0.779 0.750 0.067
Zr 0.788 0.750 0.569
Ni 0.323 0.750 0.699
Ni 0.677 0.250 0.301
Ir 0.327 0.750 0.213
Ir 0.673 0.250 0.787

Summary:
As for the formation energy: -66 kJ/mol of atoms.

=====

An optimized crystal structure of Pu2MgOs. Source: Alexandria via LeMat-Bulk, functional PBE.

a b c (Å): 11.406 11.406 11.406
angles (deg): 14.78 14.78 14.78
Fractional positions:
Pu 0.095 0.095 0.095
Pu 0.905 0.905 0.905
Mg 0.000 0.000 0.000
Os 0.500 0.500 0.500

Summary:
As for the formation energy: 37 kJ/mol of atoms.

=====

An optimized crystal structure of Ag4I3Cl. Source: Alexandria via LeMat-Bulk, functional PBE.

a b c (Å): 9.156 7.928 7.478
angles (deg): 90.00 90.00 90.00
Fractional positions:
Ag 0.000 0.144 0.000
Ag 0.000 0.825 0.527
Ag 0.241 0.672 0.997
Ag 0.259 0.328 0.497
Ag 0.500 0.175 0.027
Ag 0.500 0.856 0.500
Ag 0.741 0.328 0.497
Ag 0.759 0.672 0.997
I 0.000 0.158 0.381
I 0.248 0.331 0.879
I 0.252 0.669 0.379
I 0.500 0.842 0.881
I 0.748 0.669 0.379
I 0.752 0.331 0.879
Cl 0.000 0.828 0.882
Cl 0.500 0.172 0.382

Summary:
The energy comes out at -2.538 eV/atom.

=====

An optimized crystal structure of RbSrSeBr. Source: Alexandria via LeMat-Bulk, functional PBE.

a b c (Å): 8.616 8.616 8.616
angles (deg): 30.82 30.82 30.82
Fractional positions:
Rb 0.000 0.000 0.000
Sr 0.184 0.184 0.184
Se 0.578 0.578 0.578
Br 0.770 0.770 0.770

Summary:
The energy comes out at -3.743 eV/atom.

=====

An optimized crystal structure of RbCu2AgBr6. Source: Alexandria via LeMat-Bulk, functional PBE.

a b c (Å): 8.957 8.957 8.957
angles (deg): 47.27 47.27 47.27
Fractional positions:
Rb 0.000 0.000 0.000
Cu 0.231 0.231 0.231
Cu 0.769 0.769 0.769
Ag 0.500 0.500 0.500
Br 0.105 0.720 0.464
Br 0.280 0.536 0.895
Br 0.464 0.105 0.720
Br 0.536 0.895 0.280
Br 0.720 0.464 0.105
Br 0.895 0.280 0.536

Summary:
The energy comes out at -2.746 eV/atom.

=====

An optimized crystal structure of NbGe2PtRh. Source: Alexandria via LeMat-Bulk, functional PBE.

a b c (Å): 4.616 4.616 5.154
angles (deg): 90.00 90.00 90.00
Fractional positions:
Nb 0.000 0.000 0.000
Ge 0.000 0.500 0.500
Ge 0.500 0.000 0.500
Pt 0.000 0.000 0.500
Rh 0.500 0.500 0.000

Summary:
As for the formation energy: 89 kJ/mol of atoms.